VASP calculation (GGA-PBE) on a geometry-optimized CeDy5Tm4 structure.

Structure (POSCAR):
```
CeDy5Tm4
1.0
8.7723 -1.7234 0.0000
8.7723 1.7234 0.0000
-3.1477 0.0000 10.2854
Ce Dy Tm
1 5 4
direct
0.0000 0.0000 0.0000 Ce
0.0000 0.0000 0.5000 Dy
0.2933 0.2933 0.4002 Dy
0.3949 0.3949 0.7150 Dy
0.6051 0.6051 0.2850 Dy
0.7067 0.7067 0.5998 Dy
0.1968 0.1968 0.0824 Tm
0.4059 0.4059 0.1909 Tm
0.5941 0.5941 0.8091 Tm
0.8032 0.8032 0.9176 Tm
```

Summary:
The total energy comes out at -45.7 eV for the cell shown.